TlIn3Pd6: relaxed, PBE-GGA.

## Properties
Excess energy over the best structure of this formula in the dataset = 77 kJ/mol of formula units
Formation enthalpy at 0 K = -0.3178 eV/atom
DOS at the Fermi energy = 0.4000 states/eV per atom

Structure (extended XYZ):
```
20
Lattice="6.645 0.000 0.000 0.000 7.446 0.000 -6.591 0.000 7.637" Properties=species:S:1:pos:R:3 pbc="T T T"
Tl 0.000 0.000 0.000
Tl -3.296 3.723 3.818
In -2.698 1.115 5.722
In 0.598 2.608 1.904
In 0.027 0.000 3.818
In 3.323 3.723 0.000
In -0.544 4.838 5.733
In 2.752 6.331 1.915
Pd -1.492 4.691 1.856
Pd -4.787 6.478 5.675
Pd 0.941 4.848 0.378
Pd -2.354 6.321 4.197
Pd 2.463 1.169 0.413
Pd -0.833 2.554 4.231
Pd 0.887 4.892 3.405
Pd -2.409 6.277 7.224
Pd 2.408 1.125 3.440
Pd -0.887 2.598 7.259
Pd 4.841 0.968 1.962
Pd 1.546 2.755 5.780
```



Cr2GaNiN: relaxed, PBE-GGA.

## Properties
DOS at the Fermi energy = 0.8646 states/eV per atom
Uncorrected formation energy = -0.2343 eV per atom

Structure (extended XYZ):
```
5
Lattice="3.813 0.000 0.000 0.000 3.813 0.000 0.000 0.000 3.840" Properties=species:S:1:pos:R:3 pbc="T T T"
Cr 0.000 1.906 0.000
Cr 1.906 0.000 0.000
Ga 0.000 0.000 1.920
Ni 1.906 1.906 1.920
N 1.906 1.906 0.000
```



PrZnSi2: relaxed, PBE-GGA.

## Properties
DOS at the Fermi energy = 0.3781 states/eV per atom
Uncorrected formation energy = -0.4449 eV per atom

Structure (extended XYZ):
```
32
Lattice="13.843 0.000 0.000 0.000 4.234 0.000 0.000 0.000 10.726" Properties=species:S:1:pos:R:3 pbc="T T T"
Pr 0.733 1.059 2.613
Pr 2.674 3.176 10.315
Pr 4.247 1.059 4.952
Pr 6.188 3.176 7.976
Pr 7.654 1.059 2.750
Pr 9.595 3.176 5.774
Pr 11.169 1.059 0.411
Pr 13.110 3.176 8.113
Zn 0.780 1.059 5.893
Zn 2.863 3.176 7.115
Zn 4.058 1.059 1.752
Zn 6.141 3.176 0.530
Zn 7.701 1.059 10.195
Zn 9.785 3.176 8.974
Zn 10.979 1.059 3.611
Zn 13.063 3.176 4.833
Si 0.336 1.059 10.292
Si 1.541 1.059 8.266
Si 1.800 3.176 4.851
Si 2.971 3.176 2.732
Si 3.951 1.059 8.095
Si 5.121 1.059 10.214
Si 5.380 3.176 2.903
Si 6.585 3.176 4.929
Si 7.258 1.059 5.797
Si 8.462 1.059 7.822
Si 8.721 3.176 0.512
Si 9.892 3.176 2.631
Si 10.872 1.059 7.994
Si 12.043 1.059 5.874
Si 12.302 3.176 2.459
Si 13.506 3.176 0.434
```



GaSiNiOs: relaxed, PBE-GGA.

## Properties
Excess energy over the best structure of this formula in the dataset = 2 kJ/mol of formula units
DOS at the Fermi energy = 0.4513 states/eV per atom
Uncorrected formation energy = -0.2632 eV per atom

Structure (extended XYZ):
```
4
Lattice="4.354 -1.496 0.000 4.354 1.496 0.000 -1.138 0.000 4.058" Properties=species:S:1:pos:R:3 pbc="T T T"
Ga 0.000 0.000 0.000
Si 6.144 0.000 1.601
Ni 1.232 0.000 3.579
Os 3.687 0.000 1.988
```



AcHo2Tm: relaxed, PBE-GGA.

## Properties
Excess energy over the best structure of this formula in the dataset = 0 kJ/mol of formula units
Formation enthalpy at 0 K = 0.0485 eV/atom
DOS at the Fermi energy = 1.5949 states/eV per atom

Structure (extended XYZ):
```
4
Lattice="1.838 1.061 11.590 -1.838 1.061 11.590 0.000 -2.122 11.590" Properties=species:S:1:pos:R:3 pbc="T T T"
Ac 0.000 0.000 0.000
Ho 0.000 0.000 14.644
Ho 0.000 0.000 20.157
Tm 0.000 0.000 29.000
```



Nb3AgB: relaxed, PBE-GGA.

## Properties
Excess energy over the best structure of this formula in the dataset = 0 kJ/mol of formula units
Formation enthalpy at 0 K = 0.1122 eV/atom
DOS at the Fermi energy = 1.4987 states/eV per atom

Structure (extended XYZ):
```
5
Lattice="4.385 0.000 0.000 0.000 4.385 0.000 0.000 0.000 4.385" Properties=species:S:1:pos:R:3 pbc="T T T"
Nb 0.000 0.000 2.192
Nb 0.000 2.192 0.000
Nb 2.192 0.000 0.000
Ag 2.192 2.192 2.192
B 0.000 0.000 0.000
```



What total magnetization values result from the calculations? In sequence: 0.00 1.56 0.00 0.00 0.00 0.00 μB per cell.